Compound: Ca2MoO6
Source: the Alexandria database
Functional: PBE+U
Structure: optimized geometry

As for the spin magnetization: 1.95 μB/f.u. The calculation puts the raw total energy at -113.91 eV for the cell shown. For the volume, the calculation gives 12.41 A^3/atom.

It has space group C2/m (No. 12), with a = 11.0466 Å, b = 5.6146 Å, c = 3.7314 Å, α = 90.00°, β = 105.11° and γ = 90.00°. Symmetry generates all atoms from Ca at (0.1696, 0.0000, 0.1779), Mo at (0.0000, 0.5000, 0.5000), O at (0.0000, 0.2930, 0.0000) and O at (0.1401, 0.2708, 0.6502).